No. 1
A plane-wave DFT calculation with GGA-PBE was carried out for an optimized crystal structure of CsP2H2.

Output
magnetic moment	0.000	μB per cell
E above lowest polymorph	0.0801	eV per atom
SG	No. 1
density	2.843	g cm⁻³

a b c (Å): 3.4635 6.0984 6.2518
angles (deg): 113.99 105.89 90.40
Closest atoms and distances in Å follow each position.
Atoms (fractional coordinates):
H (0.0384, 0.2402, 0.7603)  1 H 0.76
H (0.0800, 0.3734, 0.7909)  1 H 0.76
Cs (0.2969, 0.1004, 0.2474)  5 H 3.29-3.46, 2 Cs 3.46, 6 P 3.61-3.66
P (0.8805, 0.6709, 0.4151)  2 P 2.19
P (0.5039, 0.7703, 0.6626)  2 P 2.19


No. 2
A plane-wave DFT calculation with GGA-PBE was carried out for an optimized crystal structure of Tb2Zn12Au7.

Output
magnetic moment	0.000	μB per cell
SG	No. 147
ΔH_f (0 K)	-0.333	eV per atom
density	10.584	g cm⁻³

a b c (Å): 4.0857 10.4895 10.4895
angles (deg): 120.00 90.00 90.00
Closest atoms and distances in Å follow each position.
Atoms (fractional coordinates):
Zn (0.7589, 0.8463, 0.1105)  4 Au 2.63-2.71, 1 Zn 2.93
Zn (0.2411, 0.1537, 0.8895)  4 Au 2.63-2.71, 1 Zn 2.93
Zn (0.7509, 0.0398, 0.4310)  4 Au 2.61-2.68, 2 Zn 2.85-2.86
Zn (0.2491, 0.6088, 0.0398)  4 Au 2.61-2.68, 2 Zn 2.85-2.86
Zn (0.7509, 0.5690, 0.6088)  4 Au 2.61-2.68, 2 Zn 2.85-2.86
Zn (0.7509, 0.3912, 0.9602)  4 Au 2.61-2.68, 2 Zn 2.85-2.86
Zn (0.2491, 0.4310, 0.3912)  4 Au 2.61-2.68, 2 Zn 2.85-2.86
Zn (0.2411, 0.7358, 0.8463)  4 Au 2.63-2.71, 1 Zn 2.93
Zn (0.2491, 0.9602, 0.5690)  4 Au 2.61-2.68, 2 Zn 2.85-2.86
Zn (0.7589, 0.8895, 0.7358)  4 Au 2.63-2.71, 1 Zn 2.93
Zn (0.2411, 0.1105, 0.2642)  4 Au 2.63-2.71, 1 Zn 2.93
Zn (0.7589, 0.2642, 0.1537)  4 Au 2.63-2.71, 1 Zn 2.93
Au (0.2520, 0.7161, 0.5783)  7 Zn 2.61-2.71
Au (0.7480, 0.2839, 0.4217)  7 Zn 2.61-2.71
Au (0.5000, 0.0000, 0.0000)  6 Zn 2.63
Au (0.2520, 0.4217, 0.1378)  7 Zn 2.61-2.71
Au (0.7480, 0.1378, 0.7161)  7 Zn 2.61-2.71
Au (0.2520, 0.8622, 0.2839)  7 Zn 2.61-2.71
Au (0.7480, 0.5783, 0.8622)  7 Zn 2.61-2.71
Tb (0.7523, 0.6667, 0.3333)  6 Au 3.12, 3 Zn 3.48
Tb (0.2477, 0.3333, 0.6667)  6 Au 3.12, 3 Zn 3.48


No. 3
A plane-wave DFT calculation with GGA-PBE was carried out for an optimized crystal structure of Sr2PuHfAs4.

Output
magnetic moment	4.096	μB per cell
SG	No. 10
ΔH_f (0 K)	-1.059	eV per atom
density	7.052	g cm⁻³

a b c (Å): 4.1590 7.1808 7.4639
angles (deg): 108.57 90.00 90.00
Closest atoms and distances in Å follow each position.
Atoms (fractional coordinates):
Sr (0.0000, 0.5000, 0.5000)  6 As 3.18-3.20
Sr (0.5000, 0.0000, 0.5000)  6 As 3.09-3.12
Hf (0.0000, 0.0000, 0.0000)  6 As 2.76-2.80
As (0.5000, 0.7723, 0.7891)  2 Hf 2.80, 1 Pu 2.87, 1 Sr 3.09
As (0.0000, 0.7487, 0.2130)  1 Hf 2.76, 2 Pu 2.87
As (0.0000, 0.2513, 0.7870)  1 Hf 2.76, 2 Pu 2.87
As (0.5000, 0.2277, 0.2109)  2 Hf 2.80, 1 Pu 2.87, 1 Sr 3.09
Pu (0.5000, 0.5000, 0.0000)  6 As 2.87


No. 4
A plane-wave DFT calculation with GGA-PBE was carried out for an optimized crystal structure of Mg2Al2InPd5.

Output
magnetic moment	0.000	μB per cell
SG	No. 127
ΔH_f (0 K)	-0.651	eV per atom
density	7.339	g cm⁻³

a b c (Å): 3.6420 9.6503 9.6503
angles (deg): 90.00 90.00 90.00
Closest atoms and distances in Å follow each position.
Atoms (fractional coordinates):
Pd (0.5000, 0.0000, 0.5000)  4 Al 2.49
Pd (0.5000, 0.7952, 0.9225)  2 Al 2.50, 2 In 2.79
Pd (0.5000, 0.4225, 0.2952)  2 Al 2.50, 2 In 2.79
Pd (0.5000, 0.2048, 0.0775)  2 Al 2.50, 2 In 2.79
Pd (0.5000, 0.5000, 0.0000)  4 Al 2.49
Pd (0.5000, 0.2952, 0.5775)  2 Al 2.50, 2 In 2.79
Pd (0.5000, 0.5775, 0.7048)  2 Al 2.50, 2 In 2.79
Pd (0.5000, 0.7048, 0.4225)  2 Al 2.50, 2 In 2.79
Pd (0.5000, 0.0775, 0.7952)  2 Al 2.50, 2 In 2.79
Pd (0.5000, 0.9225, 0.2048)  2 Al 2.50, 2 In 2.79
Al (0.0000, 0.1243, 0.6243)  6 Pd 2.49-2.50, 1 Mg 2.77
Al (0.0000, 0.3757, 0.1243)  6 Pd 2.49-2.50, 1 Mg 2.77
Al (0.0000, 0.8757, 0.3757)  6 Pd 2.49-2.50, 1 Mg 2.77
Al (0.0000, 0.6243, 0.8757)  6 Pd 2.49-2.50, 1 Mg 2.77
In (0.0000, 0.5000, 0.5000)  8 Pd 2.79
In (0.0000, 0.0000, 0.0000)  8 Pd 2.79
Mg (0.0000, 0.6729, 0.1729)  3 Al 2.77-2.91, 6 Pd 2.98-3.03
Mg (0.0000, 0.3271, 0.8271)  3 Al 2.77-2.91, 6 Pd 2.98-3.03
Mg (0.0000, 0.1729, 0.3271)  3 Al 2.77-2.91, 6 Pd 2.98-3.03
Mg (0.0000, 0.8271, 0.6729)  3 Al 2.77-2.91, 6 Pd 2.98-3.03


No. 5
A plane-wave DFT calculation with GGA-PBE was carried out for an optimized crystal structure of TmZn4Cu2.

Output
magnetic moment	0.000	μB per cell
E above lowest polymorph	0.4611	eV per atom
SG	No. 139
ΔH_f (0 K)	0.233	eV per atom
density	6.418	g cm⁻³

a b c (Å): 5.8942 5.8942 5.8942
angles (deg): 100.86 100.86 128.54
Closest atoms and distances in Å follow each position.
Atoms (fractional coordinates):
Cu (0.2500, 0.7500, 0.5000)  4 Zn 2.36, 2 Cu 2.56
Cu (0.7500, 0.2500, 0.5000)  4 Zn 2.36, 2 Cu 2.56
Tm (0.0000, 0.0000, 0.0000)  8 Zn 3.11
Zn (0.7352, 0.5000, 0.2352)  2 Cu 2.36, 2 Zn 2.50
Zn (0.5000, 0.7352, 0.2352)  2 Cu 2.36, 2 Zn 2.50
Zn (0.2648, 0.5000, 0.7648)  2 Cu 2.36, 2 Zn 2.50
Zn (0.5000, 0.2648, 0.7648)  2 Cu 2.36, 2 Zn 2.50


No. 6
A plane-wave DFT calculation with GGA-PBE was carried out for an optimized crystal structure of TlZnGe3.

Output
magnetic moment	0.000	μB per cell
E above lowest polymorph	0.6096	eV per atom
SG	No. 221
ΔH_f (0 K)	1.111	eV per atom
density	5.159	g cm⁻³

a b c (Å): 5.3943 5.3943 5.3943
angles (deg): 90.00 90.00 90.00
Closest atoms and distances in Å follow each position.
Atoms (fractional coordinates):
Ge (0.0000, 0.5000, 0.0000)  2 Tl 2.70
Ge (0.5000, 0.0000, 0.0000)  2 Tl 2.70
Ge (0.0000, 0.0000, 0.5000)  2 Tl 2.70
Tl (0.0000, 0.0000, 0.0000)  6 Ge 2.70
Zn (0.5000, 0.5000, 0.5000)  12 Ge 3.81


No. 7
A plane-wave DFT calculation with GGA-PBE was carried out for an optimized crystal structure of Pm5Tm3Cd12.

Output
magnetic moment	0.000	μB per cell
SG	No. 230
ΔH_f (0 K)	0.265	eV per atom
density	6.284	g cm⁻³

a b c (Å): 15.2460 15.2460 15.2460
angles (deg): 109.47 109.47 109.47
Closest atoms and distances in Å follow each position.
Atoms (fractional coordinates):
Cd (0.6517, 0.5741, 0.9194)  1 Cd 2.93, 2 Pm 3.04-3.09, 2 Tm 3.05-3.13
Cd (0.5806, 0.7323, 0.6547)  1 Cd 2.93, 2 Pm 3.04-3.09, 2 Tm 3.05-3.13
Cd (0.4194, 0.2677, 0.3453)  1 Cd 2.93, 2 Pm 3.04-3.09, 2 Tm 3.05-3.13
Cd (0.9259, 0.0806, 0.8483)  1 Cd 2.93, 2 Pm 3.04-3.09, 2 Tm 3.05-3.13
Cd (0.5776, 0.2323, 0.1517)  1 Cd 2.93, 2 Pm 3.04-3.09, 2 Tm 3.05-3.13
Cd (0.0776, 0.6517, 0.7323)  1 Cd 2.93, 2 Pm 3.04-3.09, 2 Tm 3.05-3.13
Cd (0.4259, 0.3483, 0.5806)  1 Cd 2.93, 2 Pm 3.04-3.09, 2 Tm 3.05-3.13
Cd (0.2323, 0.6547, 0.0806)  1 Cd 2.93, 2 Pm 3.04-3.09, 2 Tm 3.05-3.13
Cd (0.8483, 0.5806, 0.9259)  1 Cd 2.93, 2 Pm 3.04-3.09, 2 Tm 3.05-3.13
Cd (0.6547, 0.2323, 0.5806)  1 Cd 2.93, 2 Pm 3.04-3.09, 2 Tm 3.05-3.13
Cd (0.4224, 0.6547, 0.0741)  1 Cd 2.93, 2 Pm 3.04-3.09, 2 Tm 3.05-3.13
Cd (0.0741, 0.1547, 0.4224)  1 Cd 2.93, 2 Pm 3.04-3.09, 2 Tm 3.05-3.13
Cd (0.7323, 0.1517, 0.0776)  1 Cd 2.93, 2 Pm 3.04-3.09, 2 Tm 3.05-3.13
Cd (0.9194, 0.0741, 0.6517)  1 Cd 2.93, 2 Pm 3.04-3.09, 2 Tm 3.05-3.13
Cd (0.2677, 0.4194, 0.8453)  1 Cd 2.93, 2 Pm 3.04-3.09, 2 Tm 3.05-3.13
Cd (0.0776, 0.4259, 0.8453)  1 Cd 2.93, 2 Pm 3.04-3.09, 2 Tm 3.05-3.13
Cd (0.4259, 0.0776, 0.3453)  1 Cd 2.93, 2 Pm 3.04-3.09, 2 Tm 3.05-3.13
Cd (0.5806, 0.8483, 0.4259)  1 Cd 2.93, 2 Pm 3.04-3.09, 2 Tm 3.05-3.13
Cd (0.9224, 0.5741, 0.1547)  1 Cd 2.93, 2 Pm 3.04-3.09, 2 Tm 3.05-3.13
Cd (0.7323, 0.5806, 0.1547)  1 Cd 2.93, 2 Pm 3.04-3.09, 2 Tm 3.05-3.13
Cd (0.5741, 0.6517, 0.4194)  1 Cd 2.93, 2 Pm 3.04-3.09, 2 Tm 3.05-3.13
Cd (0.0806, 0.9259, 0.3483)  1 Cd 2.93, 2 Pm 3.04-3.09, 2 Tm 3.05-3.13
Cd (0.5741, 0.9224, 0.6547)  1 Cd 2.93, 2 Pm 3.04-3.09, 2 Tm 3.05-3.13
Cd (0.3453, 0.7677, 0.4194)  1 Cd 2.93, 2 Pm 3.04-3.09, 2 Tm 3.05-3.13
Cd (0.5776, 0.3453, 0.9259)  1 Cd 2.93, 2 Pm 3.04-3.09, 2 Tm 3.05-3.13
Cd (0.2677, 0.8483, 0.9224)  1 Cd 2.93, 2 Pm 3.04-3.09, 2 Tm 3.05-3.13
Cd (0.1517, 0.4194, 0.0741)  1 Cd 2.93, 2 Pm 3.04-3.09, 2 Tm 3.05-3.13
Cd (0.6547, 0.4224, 0.5741)  1 Cd 2.93, 2 Pm 3.04-3.09, 2 Tm 3.05-3.13
Cd (0.9259, 0.8453, 0.5776)  1 Cd 2.93, 2 Pm 3.04-3.09, 2 Tm 3.05-3.13
Cd (0.7677, 0.3453, 0.9194)  1 Cd 2.93, 2 Pm 3.04-3.09, 2 Tm 3.05-3.13
Cd (0.1547, 0.0806, 0.7323)  1 Cd 2.93, 2 Pm 3.04-3.09, 2 Tm 3.05-3.13
Cd (0.9194, 0.8453, 0.7677)  1 Cd 2.93, 2 Pm 3.04-3.09, 2 Tm 3.05-3.13
Cd (0.0806, 0.1547, 0.2323)  1 Cd 2.93, 2 Pm 3.04-3.09, 2 Tm 3.05-3.13
Cd (0.3483, 0.9224, 0.7677)  1 Cd 2.93, 2 Pm 3.04-3.09, 2 Tm 3.05-3.13
Cd (0.2323, 0.5776, 0.6517)  1 Cd 2.93, 2 Pm 3.04-3.09, 2 Tm 3.05-3.13
Cd (0.4224, 0.7677, 0.8483)  1 Cd 2.93, 2 Pm 3.04-3.09, 2 Tm 3.05-3.13
Cd (0.0741, 0.9194, 0.1517)  1 Cd 2.93, 2 Pm 3.04-3.09, 2 Tm 3.05-3.13
Cd (0.7677, 0.4224, 0.3483)  1 Cd 2.93, 2 Pm 3.04-3.09, 2 Tm 3.05-3.13
Cd (0.3483, 0.4259, 0.0806)  1 Cd 2.93, 2 Pm 3.04-3.09, 2 Tm 3.05-3.13
Cd (0.1547, 0.0741, 0.9224)  1 Cd 2.93, 2 Pm 3.04-3.09, 2 Tm 3.05-3.13
Cd (0.8483, 0.2677, 0.4224)  1 Cd 2.93, 2 Pm 3.04-3.09, 2 Tm 3.05-3.13
Cd (0.4194, 0.1517, 0.5741)  1 Cd 2.93, 2 Pm 3.04-3.09, 2 Tm 3.05-3.13
Cd (0.6517, 0.0776, 0.2323)  1 Cd 2.93, 2 Pm 3.04-3.09, 2 Tm 3.05-3.13
Cd (0.8453, 0.9259, 0.0776)  1 Cd 2.93, 2 Pm 3.04-3.09, 2 Tm 3.05-3.13
Cd (0.1517, 0.7323, 0.5776)  1 Cd 2.93, 2 Pm 3.04-3.09, 2 Tm 3.05-3.13
Cd (0.9224, 0.3483, 0.2677)  1 Cd 2.93, 2 Pm 3.04-3.09, 2 Tm 3.05-3.13
Cd (0.3453, 0.5776, 0.4259)  1 Cd 2.93, 2 Pm 3.04-3.09, 2 Tm 3.05-3.13
Cd (0.8453, 0.9194, 0.2677)  1 Cd 2.93, 2 Pm 3.04-3.09, 2 Tm 3.05-3.13
Pm (0.5000, 0.0000, 0.0000)  6 Cd 3.04
Pm (0.5000, 0.5000, 0.5000)  6 Cd 3.04
Pm (0.0000, 0.0000, 0.5000)  6 Cd 3.04
Pm (0.2500, 0.8750, 0.1250)  4 Cd 3.09
Pm (0.6250, 0.7500, 0.8750)  4 Cd 3.09
Pm (0.5000, 0.5000, 0.0000)  6 Cd 3.04
Pm (0.2500, 0.3750, 0.6250)  4 Cd 3.09
Pm (0.7500, 0.6250, 0.3750)  4 Cd 3.09
Pm (0.1250, 0.3750, 0.2500)  4 Cd 3.09
Pm (0.8750, 0.2500, 0.6250)  4 Cd 3.09
Pm (0.5000, 0.0000, 0.5000)  6 Cd 3.04
Pm (0.8750, 0.6250, 0.7500)  4 Cd 3.09
Pm (0.0000, 0.0000, 0.0000)  6 Cd 3.04
Pm (0.1250, 0.7500, 0.3750)  4 Cd 3.09
Pm (0.0000, 0.5000, 0.0000)  6 Cd 3.04
Pm (0.6250, 0.8750, 0.2500)  4 Cd 3.09
Pm (0.0000, 0.5000, 0.5000)  6 Cd 3.04
Pm (0.3750, 0.2500, 0.1250)  4 Cd 3.09
Pm (0.7500, 0.1250, 0.8750)  4 Cd 3.09
Pm (0.3750, 0.1250, 0.7500)  4 Cd 3.09
Tm (0.2500, 0.6250, 0.8750)  8 Cd 3.05-3.13
Tm (0.6250, 0.2500, 0.3750)  8 Cd 3.05-3.13
Tm (0.6250, 0.3750, 0.7500)  8 Cd 3.05-3.13
Tm (0.1250, 0.8750, 0.7500)  8 Cd 3.05-3.13
Tm (0.3750, 0.7500, 0.6250)  8 Cd 3.05-3.13
Tm (0.3750, 0.6250, 0.2500)  8 Cd 3.05-3.13
Tm (0.7500, 0.8750, 0.6250)  8 Cd 3.05-3.13
Tm (0.8750, 0.7500, 0.1250)  8 Cd 3.05-3.13
Tm (0.2500, 0.1250, 0.3750)  8 Cd 3.05-3.13
Tm (0.8750, 0.1250, 0.2500)  8 Cd 3.05-3.13
Tm (0.1250, 0.2500, 0.8750)  8 Cd 3.05-3.13
Tm (0.7500, 0.3750, 0.1250)  8 Cd 3.05-3.13


No. 8
A plane-wave DFT calculation with GGA-PBE was carried out for an optimized crystal structure of Er4TeIr.

Output
magnetic moment	0.001	μB per cell
E above lowest polymorph	0.2916	eV per atom
SG	No. 12
density	7.304	g cm⁻³
uncorrected formation energy	-3.3	eV per formula unit

a b c (Å): 5.3736 10.5882 9.5628
angles (deg): 120.17 90.00 104.70
Closest atoms and distances in Å follow each position.
Atoms (fractional coordinates):
Te (0.1680, 0.3360, 0.2944)  5 Er 3.11-3.17
Te (0.8320, 0.6640, 0.7056)  5 Er 3.11-3.17
Er (0.6044, 0.2088, 0.6901)  2 Ir 2.70
Er (0.8010, 0.6020, 0.9917)  1 Ir 2.65
Er (0.7559, 0.5118, 0.3234)  1 Ir 2.71
Er (0.3956, 0.7912, 0.3099)  2 Ir 2.70
Er (0.0314, 0.0628, 0.3606)  2 Ir 2.64-2.77
Er (0.1990, 0.3980, 0.0083)  1 Ir 2.65
Er (0.2441, 0.4882, 0.6766)  1 Ir 2.71
Er (0.9686, 0.9372, 0.6394)  2 Ir 2.64-2.77
Ir (0.1135, 0.2269, 0.6839)  6 Er 2.64-2.77
Ir (0.8865, 0.7731, 0.3161)  6 Er 2.64-2.77


No. 9
A plane-wave DFT calculation with GGA-PBE was carried out for an optimized crystal structure of TiMnH4.

Output
magnetic moment	5.017	μB per cell
E above lowest polymorph	0.0000	eV per atom
SG	No. 70
density	4.519	g cm⁻³

a b c (Å): 4.1979 4.1979 5.3564
angles (deg): 113.14 113.14 89.84
Closest atoms and distances in Å follow each position.
Atoms (fractional coordinates):
H (0.2360, 0.5001, 0.4997)  2 Mn 1.82, 2 Ti 1.89, 1 H 1.98
H (0.2362, 0.0003, 0.5003)  2 Mn 1.82, 2 Ti 1.89, 1 H 1.98
H (0.7640, 0.4999, 0.5003)  2 Mn 1.82, 2 Ti 1.89, 1 H 1.98
H (0.5001, 0.2360, 0.9997)  2 Mn 1.82, 2 Ti 1.89, 1 H 1.98
H (0.0003, 0.2362, 0.0003)  2 Mn 1.82, 2 Ti 1.89, 1 H 1.98
H (0.4999, 0.7640, 0.0003)  2 Mn 1.82, 2 Ti 1.89, 1 H 1.98
H (0.7638, 0.9997, 0.4997)  2 Mn 1.82, 2 Ti 1.89, 1 H 1.98
H (0.9997, 0.7638, 0.9997)  2 Mn 1.82, 2 Ti 1.89, 1 H 1.98
Ti (0.3750, 0.6250, 0.2500)  8 H 1.89
Ti (0.6250, 0.3750, 0.7500)  8 H 1.89
Mn (0.8750, 0.1250, 0.2500)  8 H 1.82
Mn (0.1250, 0.8750, 0.7500)  8 H 1.82